[1]
Lu2Tl | OQMD | PBE | relaxed; SG = Fd-3m (227); VASP energy = -3.570 eV/atom
1.0
-1.192 -5.683 2.294
-4.162 -3.697 -2.825
1.921 -5.077 -3.083
Tl Lu
2 4
Cartesian
0.000 0.000 0.000
-0.858 -3.614 -0.904
-0.064 -7.187 -0.846
-1.550 -6.194 -3.406
-3.106 -6.497 -0.717
-2.145 -9.036 -2.259

[2]
SmSiHO4 | OQMD | PBE | relaxed; SG = P2_1/c (14); VASP energy = -7.450 eV/atom
1.0
5.412 -0.115 0.000
-4.578 10.153 0.000
0.000 0.000 6.430
Sm O Si H
4 16 4 4
Cartesian
-0.672 6.519 2.527
1.506 3.518 3.903
-0.782 8.595 5.742
1.617 1.443 0.688
-2.114 7.475 0.982
-0.947 4.563 0.950
3.978 0.537 0.268
-2.050 7.422 4.197
-3.236 9.640 2.265
1.689 5.613 2.947
-3.144 9.501 6.162
2.948 2.563 5.447
-0.855 4.424 3.483
2.884 2.615 2.233
0.175 2.398 2.233
4.070 0.398 4.164
0.659 7.639 4.197
1.781 5.474 5.480
0.595 7.692 0.982
0.239 2.346 5.448
-3.362 8.512 1.016
4.197 1.526 5.414
-1.073 3.435 2.199
1.908 6.602 4.231
-1.194 4.312 0.038
-3.483 9.389 3.177
2.028 5.725 6.392
4.317 0.649 3.252

[3]
TbErSeO2 | OQMD | PBE | relaxed; SG = P3m1 (156); VASP energy = -7.639 eV/atom
1.0
-0.970 -2.762 -2.443
-1.330 -0.061 3.573
-5.369 3.599 -1.938
Er O Se Tb
1 2 1 1
Cartesian
-3.807 2.552 -1.374
-2.019 1.354 -0.729
-4.587 1.302 0.348
-6.441 1.726 -2.369
-2.764 0.080 1.007

[4]
Cs2Ta2O5 | OQMD | PBE | relaxed; SG = P1 (1); VASP energy = -7.829 eV/atom
1.0
-1.453 -5.051 -0.904
-1.595 -2.775 4.272
-7.388 -0.706 0.065
O Ta Cs
5 2 2
Cartesian
-3.286 -2.039 2.328
-7.882 -7.666 3.494
-7.110 -5.159 3.540
-3.296 -3.334 -0.158
-7.150 -6.570 1.111
-4.285 -1.663 0.577
-6.167 -6.880 2.812
-7.650 -3.490 1.305
-2.800 -5.038 2.197

[5]
PrNd2Ir2PdPb3 | OQMD | PBE | relaxed; SG = Amm2 (38); VASP energy = -5.961 eV/atom
1.0
-0.564 2.882 2.752
7.357 -1.053 2.609
-1.442 5.199 -5.739
Nd Ir Pb Pd Pr
2 2 3 1 1
Cartesian
1.587 4.765 -4.664
6.763 1.088 0.246
1.201 4.559 -1.586
4.147 2.466 1.210
1.265 2.525 0.558
5.148 0.667 3.299
-1.342 5.278 -2.859
0.005 0.003 -0.002
3.480 2.439 -1.841

[6]
K2InCuBr6 | OQMD | PBE | relaxed; SG = Fm-3m (225); VASP energy = -2.900 eV/atom
1.0
0.000 5.363 5.363
5.363 0.000 5.363
5.363 5.363 0.000
Br K In Cu
6 2 1 1
Cartesian
8.102 5.363 5.363
2.624 5.363 5.363
5.363 2.624 5.363
5.363 5.363 8.102
5.363 8.102 5.363
5.363 5.363 2.624
2.681 2.681 2.681
8.044 8.044 8.044
5.363 5.363 5.363
0.000 0.000 0.000

[7]
DyHo2NiSn3Pt2 | OQMD | PBE | relaxed; SG = Amm2 (38); VASP energy = -5.814 eV/atom
1.0
-0.126 -2.940 -2.573
4.862 -3.879 4.195
-7.376 -0.711 1.172
Ni Ho Sn Pt Dy
1 2 3 2 1
Cartesian
-0.001 -0.002 0.002
1.969 -1.571 1.699
-2.987 -0.288 0.475
-5.602 -2.005 -0.405
3.587 -4.384 1.865
-0.689 -2.613 0.050
0.726 -4.293 1.901
-3.365 -3.234 0.891
-1.495 -2.730 3.192

[8]
LiTa2B | OQMD | PBE | relaxed; SG = F-43m (216); VASP energy = -7.165 eV/atom
1.0
0.000 3.060 3.060
3.060 0.000 3.060
3.060 3.060 0.000
Li B Ta
1 1 2
Cartesian
1.530 1.530 1.530
3.060 3.060 3.060
4.590 4.590 4.590
0.000 0.000 0.000